A plane-wave DFT calculation with PBE-GGA was carried out for an optimized crystal structure of NaTi4N5.

Summary:
- Fermi-level density of states: 0.314 states/eV per atom
- Space-group type: C2/m (12)
- Total DFT energy (no corrections): -0.6505 Ry/atom
- Formation energy (no corrections): -1.3980 eV per atom

The structure in POSCAR format:
```
NaTi4N5
1.0
5.070 -1.512 0.000
5.070 1.512 0.000
-3.767 0.000 6.500
Na Ti N
1 4 5
Direct
0.000 0.000 0.000
0.204 0.204 0.804
0.403 0.403 0.601
0.597 0.597 0.399
0.796 0.796 0.196
0.000 0.000 0.500
0.207 0.207 0.315
0.386 0.386 0.113
0.614 0.614 0.887
0.793 0.793 0.685
```

=====

A plane-wave DFT calculation with PBE-GGA was carried out for an optimized crystal structure of InP3F.

Summary:
- Fermi-level density of states: 0.757 states/eV per atom
- Space-group type: Pm-3m (221)
- Energy relative to the lowest polymorph listed for this composition: 0.0 meV per atom
- Total DFT energy (no corrections): -0.2594 Ry/atom
- Formation energy (no corrections): 0.6383 eV per atom

The structure in POSCAR format:
```
InP3F
1.0
4.460 0.000 0.000
0.000 4.460 0.000
0.000 0.000 4.460
In P F
1 3 1
Direct
0.000 0.000 0.000
0.000 0.500 0.500
0.500 0.000 0.500
0.500 0.500 0.000
0.500 0.500 0.500
```